First-principles (PBE) data for a relaxed structure of Ca2PuMoN5, as listed in Alexandria.

The calculation puts the total magnetization at 12.00 Bohr magnetons per cell. The value obtained for the total energy is -315.11 eV for the cell shown.

The structure belongs to space group Cmc2_1 (No. 36); the cell edges are 3.416, 14.212 and 10.588 Å and the angles 90.00°, 90.00° and 90.00°. Symmetry generates all atoms from Ca at (0.000, 0.113, 0.000), Ca at (0.000, 0.136, 0.577), Pu at (0.000, 0.217, 0.304), Mo at (0.000, 0.494, 0.764), N at (0.000, 0.052, 0.331), N at (0.000, 0.282, 0.932), N at (0.000, 0.294, 0.682), N at (0.000, 0.381, 0.314) and N at (0.000, 0.497, 0.093).


First-principles (PBE) data for a relaxed structure of Ca3Pu2MoN6, as listed in Alexandria.

The calculation puts the total magnetization at 18.78 Bohr magnetons per cell. The value obtained for the total energy is -215.95 eV for the cell shown.

The structure belongs to space group C2/m (No. 12); the cell edges are 5.838, 10.116 and 5.930 Å and the angles 90.00°, 109.10° and 90.00°. Symmetry generates all atoms from Ca at (0.000, 0.000, 0.000), Ca at (0.000, 0.337, 0.000), Pu at (0.000, 0.167, 0.500), Mo at (0.000, 0.500, 0.500), N at (0.230, 0.342, 0.715) and N at (0.245, 0.500, 0.286).


First-principles (PBE) data for a relaxed structure of CaPuMo2N6, as listed in Alexandria.

The calculation puts the total magnetization at 16.00 Bohr magnetons per cell. The value obtained for the total energy is -378.03 eV for the cell shown.

The structure belongs to space group C2/c (No. 15); the cell edges are 10.362, 10.048 and 5.883 Å and the angles 90.00°, 103.92° and 90.00°. Symmetry generates all atoms from Ca at (0.000, 0.088, 0.250), Pu at (0.000, 0.292, 0.750), Mo at (0.200, 0.411, 0.282), N at (0.118, 0.269, 0.119), N at (0.119, 0.114, 0.658) and N at (0.148, 0.440, 0.576).


First-principles (PBE) data for a relaxed structure of Ca2PuMoN4, as listed in Alexandria.

The calculation puts the total magnetization at 4.33 Bohr magnetons per cell. The value obtained for the total energy is -70.10 eV for the cell shown.

The structure belongs to space group P2/m (No. 10); the cell edges are 5.700, 3.315 and 5.865 Å and the angles 90.00°, 108.20° and 90.00°. Symmetry generates all atoms from Ca at (0.000, 0.000, 0.000), Ca at (0.500, 0.500, 0.000), Pu at (0.000, 0.500, 0.500), Mo at (0.500, 0.000, 0.500), N at (0.254, 0.000, 0.715) and N at (0.269, 0.500, 0.287).


First-principles (PBE) data for a relaxed structure of CaPu2MoN4, as listed in Alexandria.

The calculation puts the total magnetization at 37.33 Bohr magnetons per cell. The value obtained for the total energy is -327.22 eV for the cell shown.

The structure belongs to space group Cmcm (No. 63); the cell edges are 3.369, 11.937 and 12.148 Å and the angles 90.00°, 90.00° and 90.00°. Symmetry generates all atoms from Ca at (0.000, 0.079, 0.250), Pu at (0.000, 0.370, 0.042), Mo at (0.000, 0.178, 0.750), N at (0.000, 0.000, 0.000), N at (0.000, 0.261, 0.614) and N at (0.000, 0.430, 0.250).


First-principles (PBE) data for a relaxed structure of RbCaMoN3, as listed in Alexandria.

The calculation puts the total magnetization at 0.00 Bohr magnetons per cell. The value obtained for the total energy is -164.75 eV for the cell shown.

The structure belongs to space group C2/m (No. 12); the cell edges are 13.005, 3.886 and 9.321 Å and the angles 90.00°, 106.54° and 90.00°. Symmetry generates all atoms from Rb at (0.136, 0.000, 0.041), Ca at (0.179, 0.000, 0.646), Mo at (0.013, 0.500, 0.345), N at (0.019, 0.000, 0.434), N at (0.128, 0.500, 0.776) and N at (0.129, 0.500, 0.274).


First-principles (PBE) data for a relaxed structure of CaSc2MoN, as listed in Alexandria.

The calculation puts the total magnetization at 0.00 Bohr magnetons per cell. The value obtained for the total energy is -35.30 eV for the cell shown.

The structure belongs to space group P4/mmm (No. 123); the cell edges are 4.706, 4.706 and 4.144 Å and the angles 90.00°, 90.00° and 90.00°. Symmetry generates all atoms from Ca at (0.000, 0.000, 0.000), Sc at (0.000, 0.500, 0.500), Mo at (0.500, 0.500, 0.000) and N at (0.500, 0.500, 0.500).


First-principles (PBE) data for a relaxed structure of CaMoSe2N, as listed in Alexandria.

The calculation puts the total magnetization at 1.02 Bohr magnetons per cell. The value obtained for the total energy is -22.76 eV for the cell shown.

The structure belongs to space group P4/mmm (No. 123); the cell edges are 5.415, 5.415 and 4.342 Å and the angles 90.00°, 90.00° and 90.00°. Symmetry generates all atoms from Ca at (0.000, 0.000, 0.000), Mo at (0.500, 0.500, 0.500), Se at (0.000, 0.500, 0.000) and N at (0.000, 0.000, 0.500).


First-principles (PBE) data for a relaxed structure of CaMoSe2N, as listed in Alexandria.

The calculation puts the total magnetization at 0.13 Bohr magnetons per cell. The value obtained for the total energy is -31.18 eV for the cell shown.

The structure belongs to space group P4/mmm (No. 123); the cell edges are 5.150, 5.150 and 3.847 Å and the angles 90.00°, 90.00° and 90.00°. Symmetry generates all atoms from Ca at (0.000, 0.000, 0.000), Mo at (0.500, 0.500, 0.500), Se at (0.000, 0.500, 0.500) and N at (0.500, 0.500, 0.000).


First-principles (PBE) data for a relaxed structure of CaMoSeN2, as listed in Alexandria.

The calculation puts the total magnetization at 1.93 Bohr magnetons per cell. The value obtained for the total energy is -23.28 eV for the cell shown.

The structure belongs to space group P4/mmm (No. 123); the cell edges are 4.064, 4.064 and 5.291 Å and the angles 90.00°, 90.00° and 90.00°. Symmetry generates all atoms from Ca at (0.000, 0.000, 0.000), Mo at (0.500, 0.500, 0.500), Se at (0.000, 0.000, 0.500) and N at (0.000, 0.500, 0.000).


First-principles (PBE) data for a relaxed structure of CaMoSeN2, as listed in Alexandria.

The calculation puts the total magnetization at 0.00 Bohr magnetons per cell. The value obtained for the total energy is -34.96 eV for the cell shown.

The structure belongs to space group P4/mmm (No. 123); the cell edges are 3.987, 3.987 and 5.262 Å and the angles 90.00°, 90.00° and 90.00°. Symmetry generates all atoms from Ca at (0.000, 0.000, 0.000), Mo at (0.500, 0.500, 0.500), Se at (0.500, 0.500, 0.000) and N at (0.000, 0.500, 0.500).


First-principles (PBE) data for a relaxed structure of Ca2SmMoN4, as listed in Alexandria.

The calculation puts the total magnetization at 0.00 Bohr magnetons per cell. The value obtained for the total energy is -121.55 eV for the cell shown.

The structure belongs to space group Pmn2_1 (No. 31); the cell edges are 7.712, 6.786 and 5.112 Å and the angles 90.00°, 90.00° and 90.00°. Symmetry generates all atoms from Ca at (0.244, 0.162, 0.000), Sm at (0.000, 0.359, 0.498), Mo at (0.000, 0.676, 0.046), N at (0.000, 0.386, 0.999), N at (0.000, 0.686, 0.417) and N at (0.221, 0.801, 0.986).


First-principles (PBE) data for a relaxed structure of Sr2CaMoN4, as listed in Alexandria.

The calculation puts the total magnetization at 0.00 Bohr magnetons per cell. The value obtained for the total energy is -113.61 eV for the cell shown.

The structure belongs to space group Pmn2_1 (No. 31); the cell edges are 7.720, 6.872 and 5.676 Å and the angles 90.00°, 90.00° and 90.00°. Symmetry generates all atoms from Sr at (0.245, 0.177, 0.000), Ca at (0.000, 0.356, 0.508), Mo at (0.000, 0.671, 0.031), N at (0.000, 0.410, 0.925), N at (0.000, 0.661, 0.357) and N at (0.210, 0.805, 0.955).


First-principles (PBE) data for a relaxed structure of CaTe2MoN, as listed in Alexandria.

The calculation puts the total magnetization at 0.94 Bohr magnetons per cell. The value obtained for the total energy is -29.22 eV for the cell shown.

The structure belongs to space group P4/mmm (No. 123); the cell edges are 5.602, 5.602 and 3.853 Å and the angles 90.00°, 90.00° and 90.00°. Symmetry generates all atoms from Ca at (0.000, 0.000, 0.000), Te at (0.000, 0.500, 0.500), Mo at (0.500, 0.500, 0.500) and N at (0.500, 0.500, 0.000).


First-principles (PBE) data for a relaxed structure of CaTe2MoN, as listed in Alexandria.

The calculation puts the total magnetization at 3.50 Bohr magnetons per cell. The value obtained for the total energy is -21.11 eV for the cell shown.

The structure belongs to space group P4/mmm (No. 123); the cell edges are 5.809, 5.809 and 4.081 Å and the angles 90.00°, 90.00° and 90.00°. Symmetry generates all atoms from Ca at (0.000, 0.000, 0.000), Te at (0.000, 0.500, 0.000), Mo at (0.500, 0.500, 0.500) and N at (0.000, 0.000, 0.500).


First-principles (PBE) data for a relaxed structure of CaThMoN3, as listed in Alexandria.

The calculation puts the total magnetization at 0.00 Bohr magnetons per cell. The value obtained for the total energy is -101.84 eV for the cell shown.

The structure belongs to space group P2_1/m (No. 11); the cell edges are 6.358, 3.526 and 9.254 Å and the angles 90.00°, 95.71° and 90.00°. Symmetry generates all atoms from Ca at (0.234, 0.250, 0.242), Th at (0.206, 0.250, 0.620), Mo at (0.374, 0.750, 0.922), N at (0.131, 0.750, 0.786), N at (0.175, 0.750, 0.440) and N at (0.482, 0.750, 0.150).


First-principles (PBE) data for a relaxed structure of Ca2ThMoN4, as listed in Alexandria.

The calculation puts the total magnetization at 0.00 Bohr magnetons per cell. The value obtained for the total energy is -249.12 eV for the cell shown.

The structure belongs to space group Cmcm (No. 63); the cell edges are 3.452, 11.796 and 12.088 Å and the angles 90.00°, 90.00° and 90.00°. Symmetry generates all atoms from Ca at (0.000, 0.127, 0.036), Th at (0.000, 0.409, 0.250), Mo at (0.000, 0.330, 0.750), N at (0.000, 0.067, 0.250), N at (0.000, 0.226, 0.634) and N at (0.000, 0.500, 0.000).


First-principles (PBE) data for a relaxed structure of Ca3U3MoN8, as listed in Alexandria.

The calculation puts the total magnetization at 2.09 Bohr magnetons per cell. The value obtained for the total energy is -401.52 eV for the cell shown.

The structure belongs to space group R-3m (No. 166, hexagonal axes); the cell edges are 6.7398, 6.7398 and 16.9923 Å and the angles 90.00°, 90.00° and 120.00°. Symmetry generates all atoms from Ca at (0.0000, 0.5000, 0.0000), U at (0.0000, 0.5000, 0.5000), Mo at (0.0000, 0.0000, 0.5000), N at (0.0000, 0.0000, 0.2416) and N at (0.0053, 0.5027, 0.2318).


First-principles (PBE) data for a relaxed structure of Ca2MoWN5, as listed in Alexandria.

The calculation puts the total magnetization at 0.01 Bohr magnetons per cell. The value obtained for the total energy is -302.75 eV for the cell shown.

The structure belongs to space group Cmc2_1 (No. 36); the cell edges are 3.262, 13.283 and 11.011 Å and the angles 90.00°, 90.00° and 90.00°. Symmetry generates all atoms from Ca at (0.000, 0.095, 0.000), Ca at (0.000, 0.151, 0.619), Mo at (0.000, 0.235, 0.355), W at (0.000, 0.453, 0.769), N at (0.000, 0.050, 0.362), N at (0.000, 0.274, 0.974), N at (0.000, 0.313, 0.727), N at (0.000, 0.370, 0.328) and N at (0.000, 0.492, 0.115).


First-principles (PBE) data for a relaxed structure of CaMoW2N, as listed in Alexandria.

The calculation puts the total magnetization at 0.22 Bohr magnetons per cell. The value obtained for the total energy is -31.44 eV for the cell shown.

The structure belongs to space group P4/mmm (No. 123); the cell edges are 4.864, 4.864 and 3.834 Å and the angles 90.00°, 90.00° and 90.00°. Symmetry generates all atoms from Ca at (0.000, 0.000, 0.000), Mo at (0.500, 0.500, 0.500), W at (0.000, 0.500, 0.000) and N at (0.000, 0.000, 0.500).


First-principles (PBE) data for a relaxed structure of CaZn2MoN4, as listed in Alexandria.

The calculation puts the total magnetization at 0.00 Bohr magnetons per cell. The value obtained for the total energy is -104.88 eV for the cell shown.

The structure belongs to space group Pmn2_1 (No. 31); the cell edges are 7.142, 5.718 and 5.426 Å and the angles 90.00°, 90.00° and 90.00°. Symmetry generates all atoms from Ca at (0.000, 0.177, 0.000), Zn at (0.247, 0.328, 0.516), Mo at (0.000, 0.810, 0.520), N at (0.000, 0.137, 0.450), N at (0.000, 0.779, 0.866) and N at (0.212, 0.663, 0.390).


Computed values of raw formation energy (unit: eV per atom) for the preceding records, in sequence: -0.887; -1.044; -0.656; -0.954; -0.876; -0.402; -0.297; 1.074; -0.610; 1.938; -0.398; -0.990; -0.913; -0.356; 1.267; -0.948; -0.841; -1.102; -0.697; 3.124; -0.470.